Record 1
Computed, not measured: a PBEsol-optimized structure of ZnAg at the meta-GGA SCAN level of DFT.

Its total moment is 0.0 μB per formula unit. The crystal system is orthorhombic. The value obtained for the density of states at the Fermi level is 0.25 states/eV/atom.

```
ZnAg
1.0
2.723 0.000 0.000
0.000 10.515 0.000
0.000 0.000 4.346
Zn Ag
4 4
Direct
0.000 0.169 0.250
0.000 0.831 0.750
0.500 0.331 0.750
0.500 0.669 0.250
0.000 0.420 0.250
0.000 0.580 0.750
0.500 0.080 0.750
0.500 0.920 0.250
```

Record 2
Computed, not measured: a PBEsol-optimized structure of Zn4Ag at the meta-GGA SCAN level of DFT.

Its total moment is 0.0 μB per formula unit. The crystal system is tetragonal. The value obtained for the density of states at the Fermi level is 0.24 states/eV/atom. The value obtained for the relative energy among the computed polymorphs is 5 meV per atom.

```
Zn4Ag
1.0
6.166 0.000 0.000
0.000 6.166 0.000
0.000 0.000 3.787
Zn Ag
8 2
Direct
0.098 0.695 0.000
0.195 0.402 0.500
0.305 0.098 0.000
0.402 0.805 0.500
0.598 0.195 0.500
0.695 0.902 0.000
0.805 0.598 0.500
0.902 0.305 0.000
0.000 0.000 0.500
0.500 0.500 0.000
```

Record 3
Computed, not measured: a PBEsol-optimized structure of ZnAg2 at the meta-GGA SCAN level of DFT.

Its total moment is 0.0 μB per formula unit. The crystal system is tetragonal. The value obtained for the density of states at the Fermi level is 0.27 states/eV/atom. The value obtained for the relative energy among the computed polymorphs is 29 meV per atom.

```
ZnAg2
1.0
-1.989 1.989 11.855
1.989 -1.989 11.855
1.989 1.989 -11.855
Zn Ag
4 8
Direct
0.292 0.542 0.750
0.458 0.708 0.750
0.542 0.292 0.250
0.708 0.458 0.250
0.040 0.790 0.250
0.124 0.374 0.750
0.210 0.960 0.250
0.374 0.124 0.250
0.626 0.876 0.750
0.790 0.040 0.750
0.876 0.626 0.250
0.960 0.210 0.750
```

Record 4
Computed, not measured: a PBEsol-optimized structure of ZnAg at the meta-GGA SCAN level of DFT.

Its total moment is 0.0 μB per formula unit. The crystal system is hexagonal. The value obtained for the density of states at the Fermi level is 0.25 states/eV/atom.

```
ZnAg
1.0
2.843 0.000 0.000
-1.422 2.462 0.000
0.000 0.000 4.364
Zn Ag
1 1
Direct
0.000 0.000 0.000
0.667 0.333 0.500
```

E_form values, unit eV per atom, following the record order: 0.042 0.013 -0.009 -0.015.